1.
Here is RbMo3Rh after structural relaxation from Alexandria via LeMat-Bulk. Energies are from PBE.

Results
ΔH_f (0 K) = 3.2707 eV/atom
spin magnetization = 0.000 μB per atom
crystal system = cubic
DFT total energy = -24.5 eV/cell
E above lowest polymorph = 679.1 kJ/mol of formula units

Cell: 4.601 4.601 4.601 Å, 90.00 90.00 90.00°
Fractional coordinates of all 5 atoms:
Rb: 0.000 0.000 0.000
Mo: 0.000 0.000 0.500
Mo: 0.000 0.500 0.000
Mo: 0.500 0.000 0.000
Rh: 0.500 0.500 0.500

2.
Here is Y3HoSc2 after structural relaxation from Alexandria via LeMat-Bulk. Energies are from PBE.

Results
ΔH_f (0 K) = 0.2967 eV/atom
spin magnetization = 0.000 μB per atom
crystal system = orthorhombic
DFT total energy = -69.7 eV/cell
E above lowest polymorph = 105.7 kJ/mol of formula units

Cell: 8.685 8.685 5.439 Å, 90.00 90.00 67.97°
Fractional coordinates of all 12 atoms:
Y: 0.095 0.905 0.750
Y: 0.112 0.376 0.250
Y: 0.376 0.112 0.750
Y: 0.624 0.888 0.250
Y: 0.888 0.624 0.750
Y: 0.905 0.095 0.250
Ho: 0.281 0.719 0.250
Ho: 0.719 0.281 0.750
Sc: 0.300 0.489 0.750
Sc: 0.489 0.300 0.250
Sc: 0.511 0.700 0.750
Sc: 0.700 0.511 0.250

3.
Here is BaMn2Cl after structural relaxation from Alexandria via LeMat-Bulk. Energies are from PBE.

Results
spin magnetization = 2.197 μB per atom
crystal system = tetragonal
raw formation energy = 278 meV/atom
DFT total energy = -21.0 eV/cell
E above lowest polymorph = 103.9 kJ/mol of formula units

Cell: 5.325 5.325 5.325 Å, 120.09 120.09 89.85°
Fractional coordinates of all 4 atoms:
Ba: 0.000 0.000 0.000
Mn: 0.500 0.500 0.000
Mn: 0.750 0.250 0.500
Cl: 0.250 0.750 0.500

4.
Here is BC5 after structural relaxation from Alexandria via LeMat-Bulk. Energies are from PBE.

Results
ΔH_f (0 K) = 0.2727 eV/atom
spin magnetization = 0.000 μB per atom
crystal system = monoclinic
DFT total energy = -102.3 eV/cell
E above lowest polymorph = 36.9 kJ/mol of formula units

Cell: 6.876 6.876 4.417 Å, 108.57 108.57 21.65°
Fractional coordinates of all 12 atoms:
B: 0.027 0.027 0.241
B: 0.973 0.973 0.759
C: 0.150 0.150 0.317
C: 0.190 0.190 0.693
C: 0.311 0.311 0.811
C: 0.352 0.352 0.186
C: 0.472 0.472 0.300
C: 0.528 0.528 0.700
C: 0.648 0.648 0.814
C: 0.689 0.689 0.189
C: 0.810 0.810 0.307
C: 0.850 0.850 0.683

Which formula does entry 3 have?
BaMn2Cl

spin magnetization of number 3 (BaMn2Cl)?
2.197 μB per atom

Which of these has the lowest DFT total energy?
BC5